Entry 1:
! SrCo2Pb, relaxed, DFT GGA-PBE; values from VASP
! Fermi-level density of states (states/eV/atom): 1.76
! ΔH_f (0 K) (eV per formula unit): 2.24
&SYSTEM
  ibrav = 0, nat = 4, ntyp = 3
/
ATOMIC_SPECIES
Sr 87.62 Sr.upf
Co 58.93 Co.upf
Pb 207.20 Pb.upf
CELL_PARAMETERS angstrom
4.732 0.000 0.000
0.000 4.732 0.000
0.000 0.000 3.566
ATOMIC_POSITIONS angstrom
Sr 0.000 0.000 0.000
Co 0.000 2.366 1.783
Co 2.366 0.000 1.783
Pb 2.366 2.366 0.000

=====

Entry 2:
! Y8Rh3Au2, relaxed, DFT GGA-PBE; values from VASP
! Fermi-level density of states (states/eV/atom): 1.09
! ΔH_f (0 K) (eV per formula unit): -8.07
&SYSTEM
  ibrav = 0, nat = 13, ntyp = 3
/
ATOMIC_SPECIES
Y 88.91 Y.upf
Rh 102.91 Rh.upf
Au 196.97 Au.upf
CELL_PARAMETERS angstrom
4.940 -6.933 0.000
4.940 6.933 0.000
0.000 0.000 4.914
ATOMIC_POSITIONS angstrom
Y 4.940 5.272 0.000
Y 2.488 1.671 2.457
Y 2.488 -1.671 2.457
Y 4.940 1.682 0.000
Y 4.940 -1.682 0.000
Y 7.391 1.671 2.457
Y 7.391 -1.671 2.457
Y 4.940 -5.272 0.000
Rh 2.471 0.000 0.000
Rh 4.940 0.000 2.457
Rh 7.409 0.000 0.000
Au 4.940 3.507 2.457
Au 4.940 -3.507 2.457

=====

Entry 3:
! BeCuTcAg2, relaxed, DFT GGA-PBE; values from VASP
! Fermi-level density of states (states/eV/atom): 0.84
! ΔH_f (0 K) (eV per formula unit): 3.81
&SYSTEM
  ibrav = 0, nat = 5, ntyp = 4
/
ATOMIC_SPECIES
Be 9.01 Be.upf
Cu 63.55 Cu.upf
Tc 98.00 Tc.upf
Ag 107.87 Ag.upf
CELL_PARAMETERS angstrom
4.298 0.000 0.000
0.000 4.298 0.000
0.000 0.000 4.259
ATOMIC_POSITIONS angstrom
Be 0.000 0.000 0.000
Cu 2.149 2.149 2.130
Tc 0.000 0.000 2.130
Ag 0.000 2.149 0.000
Ag 2.149 0.000 0.000

=====

Entry 4:
! SrSbAs, relaxed, DFT GGA-PBE; values from VASP
! Fermi-level density of states (states/eV/atom): 0.87
! E_form (uncorrected) (eV/atom): -0.12
&SYSTEM
  ibrav = 0, nat = 3, ntyp = 3
/
ATOMIC_SPECIES
Sr 87.62 Sr.upf
Sb 121.76 Sb.upf
As 74.92 As.upf
CELL_PARAMETERS angstrom
0.000 3.692 3.692
3.692 0.000 3.692
3.692 3.692 0.000
ATOMIC_POSITIONS angstrom
Sr 0.000 0.000 0.000
Sb 5.538 5.538 5.538
As 1.846 1.846 1.846

=====

Entry 5:
! YAsN3, relaxed, DFT GGA-PBE; values from VASP
! Fermi-level density of states (states/eV/atom): 0.58
! E_form (uncorrected) (eV/atom): 1.56
&SYSTEM
  ibrav = 0, nat = 5, ntyp = 3
/
ATOMIC_SPECIES
Y 88.91 Y.upf
As 74.92 As.upf
N 14.01 N.upf
CELL_PARAMETERS angstrom
4.423 0.000 0.000
0.000 4.423 0.000
0.000 0.000 4.423
ATOMIC_POSITIONS angstrom
Y 0.000 0.000 0.000
As 2.212 2.212 2.212
N 0.000 0.000 2.212
N 0.000 2.212 0.000
N 2.212 0.000 0.000

=====

Entry 6:
! NaGaPC, relaxed, DFT GGA-PBE; values from VASP
! Fermi-level density of states (states/eV/atom): 0.20
! ΔH_f (0 K) (eV per formula unit): 1.20
&SYSTEM
  ibrav = 0, nat = 4, ntyp = 4
/
ATOMIC_SPECIES
Na 22.99 Na.upf
Ga 69.72 Ga.upf
P 30.97 P.upf
C 12.01 C.upf
CELL_PARAMETERS angstrom
-1.634 2.142 4.494
1.634 -2.142 4.494
1.634 2.142 -4.494
ATOMIC_POSITIONS angstrom
Na 0.000 0.000 0.000
Ga 0.000 2.142 1.830
P 0.000 0.000 3.380
C 0.000 0.000 5.128

=====

Question: Which value of Fermi-level density of states does entry 5 give?
Answer: 0.58 states/eV/atom

=====

Question: What is the Fermi-level density of states in the first record?
Answer: 1.76 states/eV/atom

=====

Copy entry 1 word for word.
! SrCo2Pb, relaxed, DFT GGA-PBE; values from VASP
! Fermi-level density of states (states/eV/atom): 1.76
! ΔH_f (0 K) (eV per formula unit): 2.24
&SYSTEM
  ibrav = 0, nat = 4, ntyp = 3
/
ATOMIC_SPECIES
Sr 87.62 Sr.upf
Co 58.93 Co.upf
Pb 207.20 Pb.upf
CELL_PARAMETERS angstrom
4.732 0.000 0.000
0.000 4.732 0.000
0.000 0.000 3.566
ATOMIC_POSITIONS angstrom
Sr 0.000 0.000 0.000
Co 0.000 2.366 1.783
Co 2.366 0.000 1.783
Pb 2.366 2.366 0.000